A.
Here is a relaxed Ni2AgW crystal from the Alexandria database. Energies are from GGA-PBE.

```
Ni2AgW
1.0
4.159 0.000 0.000
0.000 2.666 -0.016
0.000 1.355 4.946
Ag Ni W
1 2 1
Direct
0.500 0.794 0.787
0.000 0.190 0.994
0.500 0.055 0.266
0.000 0.461 0.453
```

Properties
- SG: Pm
- Spin magnetization: 0.000 Bohr magnetons per cell



B.
Here is a relaxed Ni2AgW crystal from the Alexandria database. Energies are from GGA-PBE.

```
Ni2AgW
1.0
-4.370 -0.452 -5.098
-2.337 -5.787 2.516
-5.176 -1.756 0.151
Ni Ag W
4 2 2
Direct
0.648 0.125 0.250
0.102 0.625 0.250
0.375 0.352 0.750
0.875 0.898 0.750
0.500 0.500 0.000
0.250 0.750 0.500
0.000 0.000 0.000
0.750 0.250 0.500
```

Properties
- SG: I-42d
- Spin magnetization: 0.000 Bohr magnetons per cell



Tell me which of them is the most stable. Sure, it is A.